(1)
Here is an optimized crystal structure of Tb2Ho3Tm6 from Alexandria via LeMat-Bulk. Energies are from PBE.

Cell lengths 16.715, 16.715, 16.715 Å; angles 163.97, 163.97, 22.75 degrees
Positions (direct):
Tb 0.046 0.046 0.000
Tb 0.954 0.954 0.000
Ho 0.299 0.299 0.000
Ho 0.500 0.500 0.000
Ho 0.701 0.701 0.000
Tm 0.122 0.622 0.500
Tm 0.195 0.195 0.000
Tm 0.378 0.878 0.500
Tm 0.622 0.122 0.500
Tm 0.805 0.805 0.000
Tm 0.878 0.378 0.500

Values from the calculation:
Crystal system = tetragonal
Total energy = -4.242 eV/atom
SG = No. 139
Energy of formation from the pure elements = 0.2869 eV/atom

(2)
Here is an optimized crystal structure of Pr2ScCu2S6 from Alexandria via LeMat-Bulk. Energies are from PBE.

Cell lengths 7.526, 7.526, 7.526 Å; angles 54.99, 54.99, 54.99 degrees
Positions (direct):
Pr 0.202 0.202 0.202
Pr 0.798 0.798 0.798
Sc 0.000 0.000 0.000
Cu 0.426 0.426 0.426
Cu 0.574 0.574 0.574
S 0.216 0.755 0.755
S 0.245 0.245 0.784
S 0.245 0.784 0.245
S 0.755 0.216 0.755
S 0.755 0.755 0.216
S 0.784 0.245 0.245

Values from the calculation:
Crystal system = trigonal
Total energy = -5.542 eV/atom
SG = No. 166
Formation energy without anion corrections = -25.40 kcal/mol of atoms

(3)
Here is an optimized crystal structure of BeZnFe from Alexandria via LeMat-Bulk. Energies are from PBE.

Cell lengths 3.887, 3.887, 3.887 Å; angles 60.00, 60.00, 60.00 degrees
Positions (direct):
Be 0.000 0.000 0.000
Zn 0.500 0.500 0.500
Fe 0.250 0.250 0.250

Values from the calculation:
Crystal system = cubic
Total energy = -3.894 eV/atom
SG = No. 216
Energy of formation from the pure elements = 0.5938 eV/atom

(4)
Here is an optimized crystal structure of BeBPdAu from Alexandria via LeMat-Bulk. Energies are from PBE.

Cell lengths 3.048, 5.853, 5.853 Å; angles 28.50, 90.00, 90.00 degrees
Positions (direct):
Be 0.000 0.000 0.000
B 0.500 0.562 0.562
Pd 0.500 0.383 0.383
Au 0.000 0.696 0.696

Values from the calculation:
Crystal system = orthorhombic
Total energy = -4.604 eV/atom
SG = No. 38
Energy of formation from the pure elements = 0.1149 eV/atom

(5)
Here is an optimized crystal structure of Rb3U2CuSe9 from Alexandria via LeMat-Bulk. Energies are from PBE.

Cell lengths 7.533, 7.533, 9.149 Å; angles 90.00, 90.00, 120.00 degrees
Positions (direct):
Rb 0.000 0.000 0.000
Rb 0.333 0.667 0.663
Rb 0.667 0.333 0.337
U 0.333 0.667 0.184
U 0.667 0.333 0.816
Cu 0.000 0.000 0.500
Se 0.000 0.500 0.000
Se 0.162 0.325 0.335
Se 0.162 0.838 0.335
Se 0.325 0.162 0.665
Se 0.500 0.000 0.000
Se 0.500 0.500 0.000
Se 0.675 0.838 0.335
Se 0.838 0.162 0.665
Se 0.838 0.675 0.665

Values from the calculation:
Crystal system = trigonal
Total energy = -4.938 eV/atom
SG = No. 164
Formation energy without anion corrections = -20.18 kcal/mol of atoms

(6)
Here is an optimized crystal structure of Rb2BiCl from Alexandria via LeMat-Bulk. Energies are from PBE.

Cell lengths 3.808, 3.808, 9.873 Å; angles 90.00, 90.00, 90.00 degrees
Positions (direct):
Rb 0.000 0.000 0.204
Rb 0.000 0.000 0.796
Bi 0.500 0.500 0.500
Cl 0.500 0.500 0.000

Values from the calculation:
Crystal system = tetragonal
Total energy = -2.939 eV/atom
SG = No. 123
Formation energy without anion corrections = -23.60 kcal/mol of atoms

(7)
Here is an optimized crystal structure of AcRhI from Alexandria via LeMat-Bulk. Energies are from PBE.

Cell lengths 4.493, 4.493, 12.546 Å; angles 101.11, 101.11, 59.99 degrees
Positions (direct):
Ac 0.058 0.058 0.160
Ac 0.942 0.942 0.840
Rh 0.334 0.334 0.003
Rh 0.666 0.666 0.997
I 0.209 0.209 0.656
I 0.791 0.791 0.344

Values from the calculation:
Crystal system = monoclinic
Total energy = -5.419 eV/atom
SG = No. 12
Formation energy without anion corrections = -24.95 kcal/mol of atoms

(8)
Here is an optimized crystal structure of CeY2Tm from Alexandria via LeMat-Bulk. Energies are from PBE.

Cell lengths 3.524, 3.524, 10.064 Å; angles 90.00, 90.00, 90.00 degrees
Positions (direct):
Ce 0.000 0.000 0.000
Y 0.500 0.500 0.248
Y 0.500 0.500 0.752
Tm 0.000 0.000 0.500

Values from the calculation:
Crystal system = tetragonal
Total energy = -5.761 eV/atom
SG = No. 123
Energy of formation from the pure elements = 0.0721 eV/atom

(9)
Here is an optimized crystal structure of Pr3AuBr3 from Alexandria via LeMat-Bulk. Energies are from PBE.

Cell lengths 10.660, 10.660, 10.660 Å; angles 109.47, 109.47, 109.47 degrees
Positions (direct):
Pr 0.010 0.019 0.260
Pr 0.010 0.490 0.750
Pr 0.019 0.260 0.010
Pr 0.240 0.260 0.750
Pr 0.240 0.481 0.490
Pr 0.260 0.010 0.019
Pr 0.260 0.750 0.240
Pr 0.481 0.490 0.240
Pr 0.490 0.240 0.481
Pr 0.490 0.750 0.010
Pr 0.750 0.010 0.490
Pr 0.750 0.240 0.260
Au 0.000 0.250 0.500
Au 0.250 0.250 0.250
Au 0.250 0.500 0.000
Au 0.500 0.000 0.250
Br 0.250 0.754 0.746
Br 0.250 0.996 0.504
Br 0.504 0.250 0.996
Br 0.504 0.754 0.508
Br 0.508 0.504 0.754
Br 0.746 0.250 0.754
Br 0.746 0.996 0.992
Br 0.754 0.508 0.504
Br 0.754 0.746 0.250
Br 0.992 0.746 0.996
Br 0.996 0.504 0.250
Br 0.996 0.992 0.746

Values from the calculation:
Crystal system = cubic
Total energy = -4.555 eV/atom
SG = No. 214
Formation energy without anion corrections = -30.47 kcal/mol of atoms

(10)
Here is an optimized crystal structure of DyZn4Ag4 from Alexandria via LeMat-Bulk. Energies are from PBE.

Cell lengths 6.441, 6.441, 6.441 Å; angles 97.63, 97.63, 137.25 degrees
Positions (direct):
Dy 0.000 0.000 0.000
Zn 0.289 0.385 0.674
Zn 0.385 0.711 0.096
Zn 0.615 0.289 0.904
Zn 0.711 0.615 0.326
Ag 0.081 0.643 0.724
Ag 0.357 0.081 0.439
Ag 0.643 0.919 0.561
Ag 0.919 0.357 0.276

Values from the calculation:
Crystal system = tetragonal
Total energy = -2.390 eV/atom
SG = No. 87
Energy of formation from the pure elements = -0.0452 eV/atom

(11)
Here is an optimized crystal structure of LaErScSe3 from Alexandria via LeMat-Bulk. Energies are from PBE.

Cell lengths 8.303, 4.089, 9.482 Å; angles 90.00, 106.25, 90.00 degrees
Positions (direct):
La 0.185 0.250 0.219
La 0.815 0.750 0.781
Er 0.341 0.750 0.872
Er 0.659 0.250 0.128
Sc 0.116 0.250 0.603
Sc 0.884 0.750 0.397
Se 0.103 0.250 0.883
Se 0.232 0.750 0.480
Se 0.453 0.750 0.187
Se 0.547 0.250 0.813
Se 0.768 0.250 0.520
Se 0.897 0.750 0.117

Values from the calculation:
Crystal system = monoclinic
Total energy = -6.006 eV/atom
SG = No. 11
Formation energy without anion corrections = -37.51 kcal/mol of atoms

(12)
Here is an optimized crystal structure of Ba6AgPd from Alexandria via LeMat-Bulk. Energies are from PBE.

Cell lengths 8.009, 8.009, 15.406 Å; angles 90.00, 90.00, 120.00 degrees
Positions (direct):
Ba 0.003 0.325 0.122
Ba 0.003 0.678 0.378
Ba 0.322 0.325 0.378
Ba 0.322 0.997 0.122
Ba 0.325 0.003 0.622
Ba 0.325 0.322 0.878
Ba 0.675 0.678 0.122
Ba 0.675 0.997 0.378
Ba 0.678 0.003 0.878
Ba 0.678 0.675 0.622
Ba 0.997 0.322 0.622
Ba 0.997 0.675 0.878
Ag 0.333 0.667 0.750
Ag 0.667 0.333 0.250
Pd 0.000 0.000 0.000
Pd 0.000 0.000 0.500

Values from the calculation:
Crystal system = trigonal
Total energy = -2.669 eV/atom
SG = No. 163
Energy of formation from the pure elements = -0.2213 eV/atom

(13)
Here is an optimized crystal structure of TiSi3O from Alexandria via LeMat-Bulk. Energies are from PBE.

Cell lengths 4.785, 4.785, 4.785 Å; angles 90.00, 90.00, 90.00 degrees
Positions (direct):
Ti 0.000 0.000 0.000
Si 0.000 0.000 0.500
Si 0.000 0.500 0.000
Si 0.500 0.000 0.000
O 0.500 0.500 0.500

Values from the calculation:
Crystal system = cubic
Total energy = -4.770 eV/atom
SG = No. 221
Formation energy without anion corrections = 24.32 kcal/mol of atoms

(14)
Here is an optimized crystal structure of KCa2BiO from Alexandria via LeMat-Bulk. Energies are from PBE.

Cell lengths 4.934, 4.934, 5.133 Å; angles 90.00, 90.00, 90.00 degrees
Positions (direct):
K 0.000 0.000 0.000
Ca 0.000 0.500 0.500
Ca 0.500 0.000 0.500
Bi 0.500 0.500 0.000
O 0.000 0.000 0.500

Values from the calculation:
Crystal system = tetragonal
Total energy = -4.204 eV/atom
SG = No. 123
Formation energy without anion corrections = -32.66 kcal/mol of atoms

(15)
Here is an optimized crystal structure of BeHg from Alexandria via LeMat-Bulk. Energies are from PBE.

Cell lengths 3.648, 3.648, 2.932 Å; angles 90.00, 90.00, 120.00 degrees
Positions (direct):
Be 0.000 0.000 0.000
Hg 0.667 0.333 0.500

Values from the calculation:
Crystal system = hexagonal
Total energy = -1.511 eV/atom
SG = No. 187
Energy of formation from the pure elements = 0.5028 eV/atom

(16)
Here is an optimized crystal structure of Tm5PuCd4 from Alexandria via LeMat-Bulk. Energies are from PBE.

Cell lengths 3.615, 3.615, 19.920 Å; angles 90.00, 90.00, 90.00 degrees
Positions (direct):
Tm 0.000 0.000 0.000
Tm 0.000 0.000 0.191
Tm 0.000 0.000 0.385
Tm 0.000 0.000 0.615
Tm 0.000 0.000 0.809
Pu 0.500 0.500 0.500
Cd 0.500 0.500 0.096
Cd 0.500 0.500 0.289
Cd 0.500 0.500 0.711
Cd 0.500 0.500 0.904

Values from the calculation:
Crystal system = tetragonal
Total energy = -4.233 eV/atom
SG = No. 123
Energy of formation from the pure elements = -0.1978 eV/atom

(17)
Here is an optimized crystal structure of CrCoSi2 from Alexandria via LeMat-Bulk. Energies are from PBE.

Cell lengths 3.064, 3.064, 5.028 Å; angles 90.00, 90.00, 90.00 degrees
Positions (direct):
Cr 0.000 0.000 0.000
Co 0.500 0.500 0.688
Si 0.000 0.000 0.490
Si 0.500 0.500 0.205

Values from the calculation:
Crystal system = tetragonal
Total energy = -7.125 eV/atom
SG = No. 99
Formation energy without anion corrections = -5.34 kcal/mol of atoms

(18)
Here is an optimized crystal structure of LaIr2Ru from Alexandria via LeMat-Bulk. Energies are from PBE.

Cell lengths 2.841, 3.892, 6.611 Å; angles 90.00, 90.00, 90.00 degrees
Positions (direct):
La 0.000 0.000 0.000
Ir 0.000 0.000 0.486
Ir 0.500 0.500 0.709
Ru 0.500 0.500 0.319

Values from the calculation:
Crystal system = orthorhombic
Total energy = -7.908 eV/atom
SG = No. 25
Energy of formation from the pure elements = 0.0732 eV/atom

(19)
Here is an optimized crystal structure of FeNiAu2 from Alexandria via LeMat-Bulk. Energies are from PBE.

Cell lengths 4.858, 4.858, 4.858 Å; angles 133.31, 133.31, 68.17 degrees
Positions (direct):
Fe 0.000 0.000 0.000
Ni 0.250 0.750 0.500
Au 0.500 0.500 0.000
Au 0.750 0.250 0.500

Values from the calculation:
Crystal system = tetragonal
Total energy = -5.096 eV/atom
SG = No. 119
Energy of formation from the pure elements = 0.1038 eV/atom

(20)
Here is an optimized crystal structure of NdGdZnRu from Alexandria via LeMat-Bulk. Energies are from PBE.

Cell lengths 5.024, 5.024, 5.024 Å; angles 60.00, 60.00, 60.00 degrees
Positions (direct):
Nd 0.000 0.000 0.000
Gd 0.500 0.500 0.500
Zn 0.750 0.750 0.750
Ru 0.250 0.250 0.250

Values from the calculation:
Crystal system = cubic
Total energy = -7.611 eV/atom
SG = No. 216
Energy of formation from the pure elements = -0.2616 eV/atom

no.,density of states at the Fermi level (states/eV/cell)
1,17.4
2,6.6
3,2.8
4,0.9
5,16.0
6,1.4
7,2.3
8,7.9
9,24.0
10,4.7
11,7.8
12,13.9
13,5.5
14,0.2
15,0.5
16,14.6
17,4.6
18,4.5
19,2.7
20,3.6